The following is a DFT calculation (PBE) of Li4TmAs2 after structural relaxation.

POSCAR file:
```
Li4TmAs2
1.0
4.101 0.000 0.000
0.000 7.577 0.000
0.000 0.000 7.577
Li Tm As
8 2 4
Direct
0.000 0.099 0.339
0.000 0.901 0.661
0.500 0.161 0.599
0.500 0.839 0.401
0.500 0.401 0.839
0.500 0.599 0.161
0.000 0.339 0.099
0.000 0.661 0.901
0.500 0.000 0.000
0.000 0.500 0.500
0.000 0.208 0.792
0.000 0.792 0.208
0.500 0.708 0.708
0.500 0.292 0.292
```

Properties
Symmetry: P4_2/mnm, No. 136
E_tot, eV for the cell shown: -53.83
Formation energy from the elements, eV/f.u.: -5.49
Total moment, μB per formula unit: 0.2

The following is a DFT calculation (PBE) of La5Y3 after structural relaxation.

POSCAR file:
```
La5Y3
1.0
-2.642 1.063 4.279
-4.416 0.216 -2.780
-1.510 -10.212 1.605
La Y
5 3
Direct
0.000 0.000 0.000
0.000 0.500 0.252
0.000 0.000 0.500
0.000 0.500 0.748
0.500 0.500 0.000
0.500 0.000 0.252
0.500 0.500 0.500
0.500 0.000 0.748
```

Properties
Symmetry: Pmmm, No. 47
E_tot, eV for the cell shown: -43.89
Formation energy from the elements, eV/f.u.: 0.14
Total moment, μB per formula unit: 0.0

The following is a DFT calculation (PBE) of DyBeGa after structural relaxation.

POSCAR file:
```
DyBeGa
1.0
4.166 0.000 0.000
-2.083 3.607 0.000
0.000 0.000 7.320
Dy Ga Be
2 2 2
Direct
0.000 0.000 0.000
0.000 0.000 0.500
0.667 0.333 0.250
0.333 0.667 0.750
0.333 0.666 0.250
0.667 0.334 0.750
```

Properties
Symmetry: P6_3/mmc, No. 194
E_tot, eV for the cell shown: -25.20
Formation energy from the elements, eV/f.u.: -1.24
Total moment, μB per formula unit: 0.0

The following is a DFT calculation (PBE) of Ta4Nb2V after structural relaxation.

POSCAR file:
```
Ta4Nb2V
1.0
2.729 -0.355 0.573
-0.016 6.426 3.269
-0.229 0.351 7.263
Ta Nb V
4 2 1
Direct
0.859 0.278 0.575
0.141 0.722 0.425
0.409 0.423 0.854
0.591 0.577 0.146
0.241 0.859 0.725
0.759 0.141 0.275
0.000 0.000 0.000
```

Properties
Symmetry: P-1, No. 2
E_tot, eV for the cell shown: -75.81
Formation energy from the elements, eV/f.u.: 0.86
Total moment, μB per formula unit: 0.0